# 1
5
Lattice="4.3123 0.0000 0.0000 0.0000 4.3123 0.0000 0.0000 0.0000 4.3123" Properties=species:S:1:pos:R:3 comment="AcPuH3, relaxed, DFT PBE" dos_at_fermi_per_ev_cell=8.19 m_tot_mub_per_cell=6.13 dft_energy_ev_per_atom=-5.88 pbc="T T T"
Ac 0.0000 0.0000 0.0000
Pu 2.1561 2.1561 2.1561
H 0.0000 2.1561 2.1561
H 2.1561 0.0000 2.1561
H 2.1561 2.1561 0.0000

***

# 2
4
Lattice="1.8663 1.0775 10.1795 -1.8663 1.0775 10.1795 0.0000 -2.1550 10.1795" Properties=species:S:1:pos:R:3 comment="Ac2PuH, relaxed, DFT PBE" de_polymorph_ev_per_atom=0.000 dos_at_fermi_per_ev_cell=12.19 m_tot_mub_per_cell=6.66 pbc="T T T"
Ac 0.0000 0.0000 3.4872
Ac 0.0000 0.0000 27.0513
Pu 0.0000 0.0000 0.0000
H 0.0000 0.0000 15.2692

***

Number 1 is which compound?
AcPuH3